(1)
VASP calculation (GGA-PBE) on crystalline GaGePb2 at its relaxed geometry.

Summary:
Fermi-level density of states	0.768	states/eV/atom
crystal system	tetragonal
total DFT energy (no corrections)	-14.4	eV per cell
formation energy	0.177	eV/atom
total magnetization	0.000	μB per formula unit

abc: 4.845 4.845 4.426
angles: 90.00 90.00 90.00
Space group P4/mmm (No. 123)
Unique sites:
Ga: 0.000 0.000 0.000 [1 per cell]
Ge: 0.500 0.500 0.000 [1 per cell]
Pb: 0.000 0.500 0.500 [2 per cell]

(2)
VASP calculation (GGA-PBE) on crystalline NiHgOs2Cl at its relaxed geometry.

Summary:
Fermi-level density of states	1.197	states/eV/atom
crystal system	tetragonal
total DFT energy (no corrections)	-21.7	eV per cell
total magnetization	5.571	μB per formula unit
uncorrected formation energy	1.73	eV/atom

abc: 4.604 4.604 5.014
angles: 90.00 90.00 90.00
Space group P4/mmm (No. 123)
Unique sites:
Ni: 0.000 0.000 0.000 [1 per cell]
Hg: 0.000 0.000 0.500 [1 per cell]
Os: 0.000 0.500 0.000 [2 per cell]
Cl: 0.500 0.500 0.500 [1 per cell]